Record 1
The following is a DFT calculation (PBE) of an optimized crystal structure of LiGdO3.

Summary:
Crystal system: trigonal
VASP energy (eV per atom): -6.104

Lattice parameters (Å, degrees): 4.9797 4.9797 15.8760 90.00 90.00 120.00
Closest atoms and distances in Å follow each position.
Space group R-3 (No. 148, hexagonal axes)
One atom of each set of equivalent atoms:
Li1 0.0000 0.0000 0.1580  6 O 2.02-2.10
Gd1 0.0000 0.0000 0.3783  6 O 2.30-2.36
O1 0.0176 0.4598 0.4088  2 Li 2.02-2.10

=====

Record 2
The following is a DFT calculation (PBE) of an optimized crystal structure of LiGdP4O12.

Summary:
Crystal system: monoclinic
VASP energy (eV per atom): -7.327

Lattice parameters (Å, degrees): 16.2013 6.9832 9.5310 90.00 125.84 90.00
Closest atoms and distances in Å follow each position.
Space group C2/c (No. 15)
One atom of each set of equivalent atoms:
Li1 0.0000 0.2039 0.2500  4 O 1.95-1.96
Gd1 0.0000 0.2961 0.7500  8 O 2.31-2.48
P1 0.1374 0.0547 0.1609  4 O 1.49-1.61
P2 0.1477 0.3490 0.5964  4 O 1.50-1.61
O1 0.0631 0.0011 0.2008  1 P 1.51
O2 0.0698 0.4131 0.4141  1 P 1.50
O3 0.1148 0.2230 0.0469  1 P 1.49
O4 0.1309 0.3869 0.7324  1 P 1.50
O5 0.1587 0.1220 0.5796  2 P 1.60-1.61
O6 0.2439 0.0782 0.3480  2 P 1.59-1.61

=====

Record 3
The following is a DFT calculation (PBE) of an optimized crystal structure of Li4GdPaO6.

Summary:
Crystal system: monoclinic
VASP energy (eV per atom): -6.786

Lattice parameters (Å, degrees): 5.6600 9.8215 5.3085 90.00 110.29 90.00
Closest atoms and distances in Å follow each position.
Space group C2 (No. 5)
One atom of each set of equivalent atoms:
Li1 0.0000 0.0000 0.0000  6 O 2.22-2.29
Li2 0.0000 0.1353 0.5000  4 O 2.09-2.26
Li3 0.0000 0.5043 0.5000  6 O 2.21-2.30
Li4 0.0000 0.8602 0.5000  2 O 2.08
Gd1 0.0000 0.6688 0.0000  6 O 2.27-2.29
Pa1 0.0000 0.3332 0.0000  6 O 2.18-2.23
O1 0.2405 0.1711 0.2446  1 Pa 2.20, 4 Li 2.26-2.46, 1 Gd 2.27
O2 0.2425 0.4967 0.2514  4 Li 2.08-2.29, 1 Pa 2.23, 1 Gd 2.29
O3 0.2462 0.3380 0.7625  1 Pa 2.18, 3 Li 2.22-2.33, 1 Gd 2.27

=====

Record 4
The following is a DFT calculation (PBE) of an optimized crystal structure of LiGdSO.

Summary:
Excess energy over the best structure of this formula in the dataset (meV per atom): 298
Crystal system: orthorhombic

Lattice parameters (Å, degrees): 4.0085 6.1571 6.2502 90.00 90.00 90.00
Closest atoms and distances in Å follow each position.
Space group Pmc2_1 (No. 26)
One atom of each set of equivalent atoms:
Li1 0.0000 0.2230 0.0000  2 O 2.24, 2 S 2.35-2.41
Gd1 0.5000 0.3248 0.4265  2 O 2.14-2.17
S1 0.0000 0.1443 0.6318  2 Li 2.35-2.41, 2 Gd 2.63
O1 0.5000 0.3647 0.0814  2 Gd 2.14-2.17, 2 Li 2.24